VASP calculation (GGA-PBE) on HPtI3 after structural relaxation.

Computed properties:
**Total moment**: 0.0 Bohr magnetons per cell
**Distance to the lowest polymorph of the same formula**: 1223.7 meV per atom
**D(E_F)**: 1.45 states/eV per atom
**Final energy**: -8.18 eV per cell

a = 4.8981 Å, b = 4.8981 Å, c = 4.8981 Å
α = 90.00°, β = 90.00°, γ = 90.00°
With the nearest neighbours (Å) after each atom.
Fractional positions:
H: 0.0000 0.0000 0.0000  6 I 2.45
Pt: 0.5000 0.5000 0.5000  12 I 3.46
I: 0.0000 0.0000 0.5000  2 H 2.45
I: 0.0000 0.5000 0.0000  2 H 2.45
I: 0.5000 0.0000 0.0000  2 H 2.45

---

VASP calculation (GGA-PBE) on PmTh2Nb after structural relaxation.

Computed properties:
**Energy of formation from the pure elements**: 556 meV per atom
**Total moment**: 0.0 Bohr magnetons per cell
**Distance to the lowest polymorph of the same formula**: 381.4 meV per atom
**D(E_F)**: 1.48 states/eV per atom
**Final energy**: -27.44 eV per cell

a = 12.1943 Å, b = 12.1943 Å, c = 12.1943 Å
α = 15.80°, β = 15.80°, γ = 15.80°
With the nearest neighbours (Å) after each atom.
Fractional positions:
Pm: 0.0000 0.0000 0.0000  6 Pm 3.35, 6 Th 3.68
Th: 0.4201 0.4201 0.4201  1 Nb 2.89
Th: 0.5799 0.5799 0.5799  1 Nb 2.89
Nb: 0.5000 0.5000 0.5000  2 Th 2.89

---

VASP calculation (GGA-PBE) on Sr2TlOsRh after structural relaxation.

Computed properties:
**Energy of formation from the pure elements**: 842 meV per atom
**Total moment**: 1.7 Bohr magnetons per cell
**D(E_F)**: 1.36 states/eV per atom
**Final energy**: -20.10 eV per cell

a = 5.6523 Å, b = 5.6523 Å, c = 5.2122 Å
α = 90.00°, β = 90.00°, γ = 90.00°
With the nearest neighbours (Å) after each atom.
Fractional positions:
Sr: 0.0000 0.5000 0.0000  2 Os 2.83
Sr: 0.5000 0.0000 0.0000  2 Os 2.83
Tl: 0.0000 0.0000 0.5000  2 Os 2.61
Os: 0.0000 0.0000 0.0000  2 Tl 2.61, 4 Sr 2.83
Rh: 0.5000 0.5000 0.5000  8 Sr 3.84, 4 Tl 4.00

---

VASP calculation (GGA-PBE) on La3YHo7 after structural relaxation.

Computed properties:
**Energy of formation from the pure elements**: 174 meV per atom
**Total moment**: 0.0 Bohr magnetons per cell
**Distance to the lowest polymorph of the same formula**: 21.2 meV per atom
**D(E_F)**: 1.61 states/eV per atom
**Final energy**: -51.37 eV per cell

a = 7.0859 Å, b = 7.0859 Å, c = 8.7684 Å
α = 90.00°, β = 90.00°, γ = 120.00°
With the nearest neighbours (Å) after each atom.
Fractional positions:
La: 0.1671 0.3342 0.0000  4 La 3.53-3.55, 5 Ho 3.61-3.62, 1 Y 3.63
La: 0.1671 0.8329 0.0000  4 La 3.53-3.55, 5 Ho 3.61-3.62, 1 Y 3.63
La: 0.6658 0.8329 0.0000  4 La 3.53-3.55, 5 Ho 3.61-3.62, 1 Y 3.63
Y: 0.0000 0.0000 0.3415  9 Ho 3.46-3.54, 3 La 3.63
Ho: 0.0014 0.5007 0.3415  7 Ho 3.45-3.56, 2 Y 3.54, 2 La 3.62
Ho: 0.3326 0.1663 0.6607  1 Y 3.46, 8 Ho 3.47-3.55, 2 La 3.61
Ho: 0.3333 0.6667 0.6593  9 Ho 3.45-3.54, 3 La 3.62
Ho: 0.4993 0.5007 0.3415  7 Ho 3.45-3.56, 2 Y 3.54, 2 La 3.62
Ho: 0.4993 0.9986 0.3415  7 Ho 3.45-3.56, 2 Y 3.54, 2 La 3.62
Ho: 0.8337 0.1663 0.6607  1 Y 3.46, 8 Ho 3.47-3.55, 2 La 3.61
Ho: 0.8337 0.6674 0.6607  1 Y 3.46, 8 Ho 3.47-3.55, 2 La 3.61

---

VASP calculation (GGA-PBE) on RbTl2PdBr5 after structural relaxation.

Computed properties:
**Total moment**: 4.1 Bohr magnetons per cell
**Raw formation energy**: -0.763 eV/atom
**D(E_F)**: 0.15 states/eV per atom
**Final energy**: -52.25 eV per cell

a = 10.2482 Å, b = 10.2482 Å, c = 10.2482 Å
α = 129.07°, β = 129.07°, γ = 74.91°
With the nearest neighbours (Å) after each atom.
Fractional positions:
Rb: 0.2500 0.2500 0.0000  10 Br 3.80-4.07
Rb: 0.7500 0.7500 0.0000  10 Br 3.80-4.07
Tl: 0.1608 0.6608 0.8216  8 Br 3.31-3.57
Tl: 0.3392 0.1608 0.5000  8 Br 3.31-3.57
Tl: 0.6608 0.8392 0.5000  8 Br 3.31-3.57
Tl: 0.8392 0.3392 0.1784  8 Br 3.31-3.57
Pd: 0.2500 0.7500 0.5000  4 Br 2.53
Pd: 0.7500 0.2500 0.5000  4 Br 2.53
Br: 0.0000 0.0000 0.0000  4 Tl 3.31
Br: 0.0044 0.2109 0.5000  1 Pd 2.53
Br: 0.2109 0.7109 0.2066  1 Pd 2.53
Br: 0.2891 0.4956 0.5000  1 Pd 2.53
Br: 0.4956 0.9956 0.2066  1 Pd 2.53
Br: 0.5000 0.5000 0.0000  4 Tl 3.31
Br: 0.5044 0.0044 0.7934  1 Pd 2.53
Br: 0.7109 0.5044 0.5000  1 Pd 2.53
Br: 0.7891 0.2891 0.7934  1 Pd 2.53
Br: 0.9956 0.7891 0.5000  1 Pd 2.53

---

VASP calculation (GGA-PBE) on MnSiOs2 after structural relaxation.

Computed properties:
**Total moment**: 1.8 Bohr magnetons per cell
**Raw formation energy**: 0.108 eV/atom
**D(E_F)**: 0.64 states/eV per atom
**Final energy**: -36.62 eV per cell

a = 4.8397 Å, b = 4.8397 Å, c = 4.8397 Å
α = 48.66°, β = 48.66°, γ = 48.66°
With the nearest neighbours (Å) after each atom.
Fractional positions:
Mn: 0.0000 0.0000 0.0000  1 Si 2.43, 3 Os 2.51
Si: 0.1906 0.1906 0.1906  1 Mn 2.43, 6 Os 2.45-2.48
Os: 0.5887 0.5887 0.5887  3 Si 2.45, 1 Os 2.50, 3 Mn 2.51
Os: 0.7841 0.7841 0.7841  3 Si 2.48, 1 Os 2.50, 4 Mn 2.75-2.76

---

VASP calculation (GGA-PBE) on TbPm3Sm2Te6 after structural relaxation.

Computed properties:
**Total moment**: 0.0 Bohr magnetons per cell
**Raw formation energy**: -1.384 eV/atom
**D(E_F)**: 0.53 states/eV per atom
**Final energy**: -63.78 eV per cell

a = 9.9273 Å, b = 9.9273 Å, c = 8.9324 Å
α = 102.88°, β = 102.88°, γ = 25.74°
With the nearest neighbours (Å) after each atom.
Fractional positions:
Tb: 0.0000 0.0000 0.0000  6 Te 3.08-3.11
Pm: 0.0000 0.0000 0.5000  6 Te 3.14-3.18
Pm: 0.3310 0.3310 0.1669  6 Te 3.14-3.18
Pm: 0.6690 0.6690 0.8330  6 Te 3.14-3.18
Sm: 0.3321 0.3321 0.6655  6 Te 3.12-3.17
Sm: 0.6679 0.6679 0.3345  6 Te 3.12-3.17
Te: 0.1637 0.1637 0.0827  1 Tb 3.08, 2 Sm 3.14, 3 Pm 3.15-3.16
Te: 0.1665 0.1665 0.5817  3 Sm 3.12-3.13, 3 Pm 3.14
Te: 0.4999 0.4999 0.2444  2 Tb 3.11, 1 Sm 3.17, 3 Pm 3.18
Te: 0.5001 0.5001 0.7556  2 Tb 3.11, 1 Sm 3.17, 3 Pm 3.18
Te: 0.8335 0.8335 0.4183  3 Sm 3.12-3.13, 3 Pm 3.14
Te: 0.8363 0.8363 0.9173  1 Tb 3.08, 2 Sm 3.14, 3 Pm 3.15-3.16

---

VASP calculation (GGA-PBE) on Cd2HgTe after structural relaxation.

Computed properties:
**Total moment**: 0.0 Bohr magnetons per cell
**Distance to the lowest polymorph of the same formula**: 177.1 meV per atom
**Raw formation energy**: 0.063 eV/atom
**D(E_F)**: 0.35 states/eV per atom
**Final energy**: -5.02 eV per cell

a = 5.3294 Å, b = 5.3294 Å, c = 5.3294 Å
α = 60.00°, β = 60.00°, γ = 60.00°
With the nearest neighbours (Å) after each atom.
Fractional positions:
Cd: 0.0000 0.0000 0.0000  4 Hg 3.26, 4 Cd 3.26
Cd: 0.2500 0.2500 0.2500  4 Cd 3.26, 4 Te 3.26
Hg: 0.7500 0.7500 0.7500  4 Cd 3.26, 4 Te 3.26
Te: 0.5000 0.5000 0.5000  4 Cd 3.26, 4 Hg 3.26

---

Which value of total moment does entry 4 give? 0.0 Bohr magnetons per cell

---

Which of these has the lowest final energy? TbPm3Sm2Te6

---

Look up the D(E_F) of the sixth one. 0.64 states/eV per atom